First-principles (PBE) data for a relaxed Be3VHg crystal, as listed in Alexandria via LeMat-Bulk.

Structure (CIF):
```
data_Be3VHg
_cell_length_a 4.3003
_cell_length_b 4.3003
_cell_length_c 4.3003
_cell_angle_alpha 90.00
_cell_angle_beta 90.00
_cell_angle_gamma 90.00
_space_group_name_H-M_alt 'P m -3 m'
_space_group_IT_number 221
_space_group_name_Hall '-P 4 2 3'
loop_
_atom_site_label
_atom_site_type_symbol
_atom_site_fract_x
_atom_site_fract_y
_atom_site_fract_z
Be1 Be 0.0000 0.0000 0.5000
V1 V 0.0000 0.0000 0.0000
Hg1 Hg 0.5000 0.5000 0.5000
```

As for the density of states at the Fermi level: 2.282 states/eV/cell. Its formation energy is 1.407 eV/atom. Its crystal system is cubic.

***

First-principles (PBE) data for a relaxed Be3VHg crystal, as listed in Alexandria via LeMat-Bulk.

Structure (CIF):
```
data_Be3VHg
_cell_length_a 4.3662
_cell_length_b 4.3662
_cell_length_c 4.3662
_cell_angle_alpha 90.00
_cell_angle_beta 90.00
_cell_angle_gamma 90.00
_space_group_name_H-M_alt 'P m -3 m'
_space_group_IT_number 221
_space_group_name_Hall '-P 4 2 3'
loop_
_atom_site_label
_atom_site_type_symbol
_atom_site_fract_x
_atom_site_fract_y
_atom_site_fract_z
Be1 Be 0.0000 0.0000 0.5000
V1 V 0.5000 0.5000 0.5000
Hg1 Hg 0.0000 0.0000 0.0000
```

As for the density of states at the Fermi level: 4.386 states/eV/cell. Its formation energy is 1.172 eV/atom. Its crystal system is cubic.

***

First-principles (PBE) data for a relaxed BeV2Hg crystal, as listed in Alexandria via LeMat-Bulk.

Structure (CIF):
```
data_BeV2Hg
_cell_length_a 6.1550
_cell_length_b 6.1550
_cell_length_c 6.1550
_cell_angle_alpha 90.00
_cell_angle_beta 90.00
_cell_angle_gamma 90.00
_space_group_name_H-M_alt 'F m -3 m'
_space_group_IT_number 225
_space_group_name_Hall '-F 4 2 3'
loop_
_atom_site_label
_atom_site_type_symbol
_atom_site_fract_x
_atom_site_fract_y
_atom_site_fract_z
Be1 Be 0.0000 0.0000 0.0000
V1 V 0.2500 0.2500 0.2500
Hg1 Hg 0.0000 0.0000 0.5000
```

As for the density of states at the Fermi level: 19.929 states/eV/cell. Its formation energy is 0.536 eV/atom. Its crystal system is cubic.

***

First-principles (PBE) data for a relaxed BeV2Hg crystal, as listed in Alexandria via LeMat-Bulk.

Structure (CIF):
```
data_BeV2Hg
_cell_length_a 3.5143
_cell_length_b 3.5143
_cell_length_c 19.4062
_cell_angle_alpha 90.00
_cell_angle_beta 90.00
_cell_angle_gamma 90.00
_space_group_name_H-M_alt 'I -4 2 d'
_space_group_IT_number 122
_space_group_name_Hall 'I -4 2bw'
loop_
_atom_site_label
_atom_site_type_symbol
_atom_site_fract_x
_atom_site_fract_y
_atom_site_fract_z
Be1 Be 0.0000 0.0000 0.0000
V1 V 0.2353 0.2500 0.1250
Hg1 Hg 0.0000 0.0000 0.5000
```

As for the density of states at the Fermi level: 14.122 states/eV/cell. Its formation energy is 0.682 eV/atom. Its crystal system is tetragonal.

***

First-principles (PBE) data for a relaxed BeVHg3 crystal, as listed in Alexandria via LeMat-Bulk.

Structure (CIF):
```
data_BeVHg3
_cell_length_a 5.3932
_cell_length_b 5.3932
_cell_length_c 5.3932
_cell_angle_alpha 90.00
_cell_angle_beta 90.00
_cell_angle_gamma 90.00
_space_group_name_H-M_alt 'P m -3 m'
_space_group_IT_number 221
_space_group_name_Hall '-P 4 2 3'
loop_
_atom_site_label
_atom_site_type_symbol
_atom_site_fract_x
_atom_site_fract_y
_atom_site_fract_z
Be1 Be 0.0000 0.0000 0.0000
V1 V 0.5000 0.5000 0.5000
Hg1 Hg 0.0000 0.5000 0.5000
```

As for the density of states at the Fermi level: 3.042 states/eV/cell. Its formation energy is 1.076 eV/atom. Its crystal system is cubic.

***

First-principles (PBE) data for a relaxed BeHg2W crystal, as listed in Alexandria via LeMat-Bulk.

Structure (CIF):
```
data_BeHg2W
_cell_length_a 2.8166
_cell_length_b 2.8166
_cell_length_c 9.0161
_cell_angle_alpha 90.00
_cell_angle_beta 90.00
_cell_angle_gamma 90.00
_space_group_name_H-M_alt 'P 4 m m'
_space_group_IT_number 99
loop_
_space_group_symop_operation_xyz
'x,y,z'
'-y,x,z'
'-x,-y,z'
'y,-x,z'
'-x,y,z'
'y,x,z'
'x,-y,z'
'-y,-x,z'
loop_
_atom_site_label
_atom_site_type_symbol
_atom_site_fract_x
_atom_site_fract_y
_atom_site_fract_z
Be1 Be 0.0000 0.0000 0.0000
Hg1 Hg 0.0000 0.0000 0.5604
Hg2 Hg 0.5000 0.5000 0.2322
W1 W 0.5000 0.5000 0.8218
```

As for the density of states at the Fermi level: 1.728 states/eV/cell. Its formation energy is 0.540 eV/atom. Its crystal system is tetragonal.

***

First-principles (PBE) data for a relaxed BeHg2W crystal, as listed in Alexandria via LeMat-Bulk.

Structure (CIF):
```
data_BeHg2W
_cell_length_a 3.8889
_cell_length_b 3.8889
_cell_length_c 9.1493
_cell_angle_alpha 90.00
_cell_angle_beta 90.00
_cell_angle_gamma 90.00
_space_group_name_H-M_alt 'I 4/m m m'
_space_group_IT_number 139
_space_group_name_Hall '-I 4 2'
loop_
_atom_site_label
_atom_site_type_symbol
_atom_site_fract_x
_atom_site_fract_y
_atom_site_fract_z
Be1 Be 0.0000 0.0000 0.0000
Hg1 Hg 0.0000 0.5000 0.2500
W1 W 0.0000 0.0000 0.5000
```

As for the density of states at the Fermi level: 6.726 states/eV/cell. Its formation energy is 0.953 eV/atom. Its crystal system is tetragonal.

***

First-principles (PBE) data for a relaxed BeHg2W crystal, as listed in Alexandria via LeMat-Bulk.

Structure (CIF):
```
data_BeHg2W
_cell_length_a 2.8759
_cell_length_b 4.8752
_cell_length_c 9.9309
_cell_angle_alpha 90.00
_cell_angle_beta 90.00
_cell_angle_gamma 90.00
_space_group_name_H-M_alt 'I m m 2'
_space_group_IT_number 44
loop_
_space_group_symop_operation_xyz
'x,y,z'
'-x,-y,z'
'-x,y,z'
'x,-y,z'
'x+1/2,y+1/2,z+1/2'
'-x+1/2,-y+1/2,z+1/2'
'-x+1/2,y+1/2,z+1/2'
'x+1/2,-y+1/2,z+1/2'
loop_
_atom_site_label
_atom_site_type_symbol
_atom_site_fract_x
_atom_site_fract_y
_atom_site_fract_z
Be1 Be 0.0000 0.0000 0.0000
Hg1 Hg 0.0000 0.0000 0.5249
Hg2 Hg 0.0000 0.5000 0.7420
W1 W 0.0000 0.5000 0.3007
```

As for the density of states at the Fermi level: 4.343 states/eV/cell. Its formation energy is 0.750 eV/atom. Its crystal system is orthorhombic.

***

First-principles (PBE) data for a relaxed BeHg2W crystal, as listed in Alexandria via LeMat-Bulk.

Structure (CIF):
```
data_BeHg2W
_cell_length_a 2.9731
_cell_length_b 2.9731
_cell_length_c 26.6062
_cell_angle_alpha 90.00
_cell_angle_beta 90.00
_cell_angle_gamma 120.00
_space_group_name_H-M_alt 'R -3 m'
_space_group_IT_number 166
_space_group_name_Hall '-R 3 2"'
loop_
_atom_site_label
_atom_site_type_symbol
_atom_site_fract_x
_atom_site_fract_y
_atom_site_fract_z
Be1 Be 0.0000 0.0000 0.0000
Hg1 Hg 0.0000 0.0000 0.2590
W1 W 0.0000 0.0000 0.5000
```

As for the density of states at the Fermi level: 9.513 states/eV/cell. Its formation energy is 0.752 eV/atom. Its crystal system is trigonal.

***

First-principles (PBE) data for a relaxed BeHgW3 crystal, as listed in Alexandria via LeMat-Bulk.

Structure (CIF):
```
data_BeHgW3
_cell_length_a 4.9054
_cell_length_b 4.9054
_cell_length_c 4.9054
_cell_angle_alpha 90.00
_cell_angle_beta 90.00
_cell_angle_gamma 90.00
_space_group_name_H-M_alt 'P m -3 m'
_space_group_IT_number 221
_space_group_name_Hall '-P 4 2 3'
loop_
_atom_site_label
_atom_site_type_symbol
_atom_site_fract_x
_atom_site_fract_y
_atom_site_fract_z
Be1 Be 0.0000 0.0000 0.0000
Hg1 Hg 0.5000 0.5000 0.5000
W1 W 0.0000 0.5000 0.5000
```

As for the density of states at the Fermi level: 10.253 states/eV/cell. Its formation energy is 3.438 eV/atom. Its crystal system is cubic.

***

First-principles (PBE) data for a relaxed BeHg2W crystal, as listed in Alexandria via LeMat-Bulk.

Structure (CIF):
```
data_BeHg2W
_cell_length_a 3.9908
_cell_length_b 3.9908
_cell_length_c 8.7755
_cell_angle_alpha 90.00
_cell_angle_beta 90.00
_cell_angle_gamma 90.00
_space_group_name_H-M_alt 'I -4 m 2'
_space_group_IT_number 119
_space_group_name_Hall 'I -4 -2'
loop_
_atom_site_label
_atom_site_type_symbol
_atom_site_fract_x
_atom_site_fract_y
_atom_site_fract_z
Be1 Be 0.0000 0.0000 0.0000
Hg1 Hg 0.0000 0.0000 0.5000
Hg2 Hg 0.0000 0.5000 0.7500
W1 W 0.0000 0.5000 0.2500
```

As for the density of states at the Fermi level: 6.725 states/eV/cell. Its formation energy is 1.011 eV/atom. Its crystal system is tetragonal.

***

First-principles (PBE) data for a relaxed BeHg4W crystal, as listed in Alexandria via LeMat-Bulk.

Structure (CIF):
```
data_BeHg4W
_cell_length_a 8.0450
_cell_length_b 8.0450
_cell_length_c 8.0450
_cell_angle_alpha 90.00
_cell_angle_beta 90.00
_cell_angle_gamma 90.00
_space_group_name_H-M_alt 'F -4 3 m'
_space_group_IT_number 216
_space_group_name_Hall 'F -4 2 3'
loop_
_atom_site_label
_atom_site_type_symbol
_atom_site_fract_x
_atom_site_fract_y
_atom_site_fract_z
Be1 Be 0.0000 0.0000 0.0000
Hg1 Hg 0.1250 0.1250 0.6250
W1 W 0.2500 0.2500 0.2500
```

As for the density of states at the Fermi level: 17.234 states/eV/cell. Its formation energy is 1.311 eV/atom. Its crystal system is cubic.

***

First-principles (PBE) data for a relaxed BeHg2W crystal, as listed in Alexandria via LeMat-Bulk.

Structure (CIF):
```
data_BeHg2W
_cell_length_a 5.5776
_cell_length_b 8.5469
_cell_length_c 2.9146
_cell_angle_alpha 90.00
_cell_angle_beta 90.33
_cell_angle_gamma 90.00
_space_group_name_H-M_alt 'C 1 2/m 1'
_space_group_IT_number 12
loop_
_space_group_symop_operation_xyz
'x,y,z'
'-x,-y,-z'
'-x,y,-z'
'x,-y,z'
'x+1/2,y+1/2,z'
'-x+1/2,-y+1/2,-z'
'-x+1/2,y+1/2,-z'
'x+1/2,-y+1/2,z'
loop_
_atom_site_label
_atom_site_type_symbol
_atom_site_fract_x
_atom_site_fract_y
_atom_site_fract_z
Be1 Be 0.0000 0.0000 0.0000
Hg1 Hg 0.2500 0.2500 0.5000
W1 W 0.0000 0.5000 0.0000
```

As for the density of states at the Fermi level: 1.978 states/eV/cell. Its formation energy is 0.770 eV/atom. Its crystal system is monoclinic.

***

First-principles (PBE) data for a relaxed BeHg2W crystal, as listed in Alexandria via LeMat-Bulk.

Structure (CIF):
```
data_BeHg2W
_cell_length_a 5.0625
_cell_length_b 2.9002
_cell_length_c 5.0933
_cell_angle_alpha 90.00
_cell_angle_beta 110.89
_cell_angle_gamma 90.00
_space_group_name_H-M_alt 'P 1 2/m 1'
_space_group_IT_number 10
loop_
_space_group_symop_operation_xyz
'x,y,z'
'-x,-y,-z'
'-x,y,-z'
'x,-y,z'
loop_
_atom_site_label
_atom_site_type_symbol
_atom_site_fract_x
_atom_site_fract_y
_atom_site_fract_z
Be1 Be 0.0000 0.0000 0.0000
Hg1 Hg 0.0000 0.5000 0.5000
Hg2 Hg 0.5000 0.0000 0.5000
W1 W 0.5000 0.5000 0.0000
```

As for the density of states at the Fermi level: 1.745 states/eV/cell. Its formation energy is 0.769 eV/atom. Its crystal system is monoclinic.

***

First-principles (PBE) data for a relaxed BeHg2W crystal, as listed in Alexandria via LeMat-Bulk.

Structure (CIF):
```
data_BeHg2W
_cell_length_a 3.5846
_cell_length_b 4.3599
_cell_length_c 9.0997
_cell_angle_alpha 90.00
_cell_angle_beta 90.00
_cell_angle_gamma 90.00
_space_group_name_H-M_alt 'C m m 2'
_space_group_IT_number 35
loop_
_space_group_symop_operation_xyz
'x,y,z'
'-x,-y,z'
'-x,y,z'
'x,-y,z'
'x+1/2,y+1/2,z'
'-x+1/2,-y+1/2,z'
'-x+1/2,y+1/2,z'
'x+1/2,-y+1/2,z'
loop_
_atom_site_label
_atom_site_type_symbol
_atom_site_fract_x
_atom_site_fract_y
_atom_site_fract_z
Be1 Be 0.0000 0.0000 0.0000
Hg1 Hg 0.0000 0.0000 0.4433
Hg2 Hg 0.0000 0.5000 0.7721
W1 W 0.0000 0.5000 0.1807
```

As for the density of states at the Fermi level: 2.715 states/eV/cell. Its formation energy is 0.535 eV/atom. Its crystal system is orthorhombic.